[1]
Below is a relaxed structure of CoBiNO2, with properties calculated at the GGA+U level. Values from VASP.

```
&SYSTEM
  ibrav = 0, nat = 5, ntyp = 4
/
ATOMIC_SPECIES
Co 58.93 Co.upf
O 16.00 O.upf
Bi 208.98 Bi.upf
N 14.01 N.upf
ATOMIC_POSITIONS angstrom
Co 2.5560 -2.2716 -1.3037
O 0.9589 0.2077 -1.8525
O -0.2881 -2.0417 -0.3780
Bi 0.0000 0.0000 0.0000
N 1.8851 -0.4375 0.9267
CELL_PARAMETERS angstrom
-0.5761 -4.0834 -0.7559
1.9178 0.4153 -3.7050
3.7703 -0.8751 1.8535
```



[2]
Below is a relaxed structure of CoBiNO2, with properties calculated at the GGA+U level. Values from VASP.

```
&SYSTEM
  ibrav = 0, nat = 5, ntyp = 4
/
ATOMIC_SPECIES
N 14.01 N.upf
O 16.00 O.upf
Co 58.93 Co.upf
Bi 208.98 Bi.upf
ATOMIC_POSITIONS angstrom
N 0.1305 -1.6993 0.6680
O 1.8689 -0.0979 -0.6142
Co 0.0000 0.0000 0.0000
Bi 1.3935 -2.5230 -1.6740
O -0.6059 -0.7258 -1.7279
CELL_PARAMETERS angstrom
-1.2118 -1.4517 -3.4557
3.7377 -0.1958 -1.2284
0.2611 -3.3985 1.3361
```



Computed electronic total energy (eV/atom) in order:
-4.83; -5.55
Computed density of states at the Fermi level (states/eV per cell) in order:
1.4; 2.3